(A)
VASP calculation (PBE-GGA) on crystalline TbSm5Th2 at its relaxed geometry.

Structure (extended XYZ):
```
8
Lattice="-3.287 -1.327 0.107 3.549 -9.236 -5.528 1.257 2.327 8.538" Properties=species:S:1:pos:R:3 pbc="T T T"
Tb 0.000 0.000 0.000
Sm 1.774 -4.618 -2.764
Sm -0.344 -3.865 0.115
Sm 0.184 -0.001 5.618
Sm 1.335 -8.235 -2.500
Sm 1.863 -4.371 3.002
Th 2.495 -6.143 0.247
Th -0.976 -2.093 2.870
```

Results
space group	Immm (71)
size of the total moment	0.00	μB/f.u.

---

(B)
VASP calculation (PBE-GGA) on crystalline TbSm5Th2 at its relaxed geometry.

Structure (extended XYZ):
```
16
Lattice="8.928 0.000 0.000 0.000 8.928 0.000 -4.464 -4.464 6.743" Properties=species:S:1:pos:R:3 pbc="T T T"
Sm 5.822 -1.358 2.179
Sm -1.358 3.106 2.179
Sm 4.464 4.464 0.000
Sm 0.000 0.000 0.000
Sm 3.106 -1.358 4.563
Sm 1.358 5.822 2.179
Sm 1.358 3.106 4.563
Sm 3.106 1.358 2.179
Sm 5.822 1.358 4.563
Sm -1.358 5.822 4.563
Th 1.255 3.209 0.000
Th 3.209 7.673 0.000
Th 7.673 5.719 0.000
Th 5.719 1.255 0.000
Tb 0.000 0.000 3.371
Tb 4.464 4.464 3.371
```

Results
space group	I4/mcm (140)
size of the total moment	0.00	μB/f.u.

---

Of them, (B) has the lowest stability.

---

(A)
VASP calculation (PBE-GGA) on crystalline Tb2Sm7Th2 at its relaxed geometry.

Structure (extended XYZ):
```
11
Lattice="-1.514 -0.149 5.964 -4.627 -6.552 0.896 6.189 -3.610 3.716" Properties=species:S:1:pos:R:3 pbc="T T T"
Sm 0.306 -7.853 7.019
Sm -2.589 -4.098 1.770
Sm 3.089 -2.553 3.250
Sm -0.259 -2.458 3.557
Sm 0.000 0.000 0.000
Sm -3.042 -7.758 7.326
Sm 2.636 -6.214 8.807
Th 0.608 -5.908 3.832
Th -0.561 -4.404 6.744
Tb 3.038 -4.336 6.074
Tb -2.992 -5.976 4.502
```

Results
space group	C2/m (12)
size of the total moment	0.00	μB/f.u.

---

(B)
VASP calculation (PBE-GGA) on crystalline Tb2Sm7Th2 at its relaxed geometry.

Structure (extended XYZ):
```
11
Lattice="-3.045 4.047 -7.113 -2.790 1.318 5.205 2.848 7.118 4.179" Properties=species:S:1:pos:R:3 pbc="T T T"
Sm -1.620 2.257 -1.725
Sm -1.368 10.227 3.997
Sm -1.261 4.184 5.585
Sm -1.726 8.300 -3.313
Sm -1.444 6.670 2.763
Sm 0.000 0.000 0.000
Sm -1.543 5.813 -0.491
Tb -2.095 4.930 -3.815
Tb -0.893 7.553 6.087
Th -1.550 9.436 0.297
Th -1.437 3.047 1.975
```

Results
space group	C2/m (12)
size of the total moment	0.00	μB/f.u.

---

Of them, (B) has the lowest stability.

---

(A)
VASP calculation (PBE-GGA) on crystalline Tb7Sm4Th at its relaxed geometry.

Structure (extended XYZ):
```
12
Lattice="-4.527 -5.541 -0.211 0.161 -4.992 6.272 -3.583 5.013 5.127" Properties=species:S:1:pos:R:3 pbc="T T T"
Sm -4.632 -1.094 5.386
Sm -2.265 -0.543 2.673
Sm -3.317 -4.426 5.803
Sm -5.684 -4.977 8.516
Tb -6.874 -3.831 5.296
Tb -1.041 -3.892 3.116
Tb -2.264 -2.771 -0.106
Tb -1.076 -1.689 5.893
Tb -3.382 -2.172 8.631
Tb -6.908 -1.628 8.073
Tb -4.567 -3.348 2.558
Th 0.000 0.000 0.000
```

Results
space group	P-1 (2)
size of the total moment	0.00	μB/f.u.

---

(B)
VASP calculation (PBE-GGA) on crystalline Tb7Sm4Th at its relaxed geometry.

Structure (extended XYZ):
```
12
Lattice="5.981 0.000 0.000 2.991 11.231 -0.352 2.991 0.162 6.070" Properties=species:S:1:pos:R:3 pbc="T T T"
Tb 2.991 0.000 0.000
Tb 5.981 5.719 4.463
Tb 2.991 0.944 2.987
Tb 8.972 3.725 4.786
Tb 8.972 10.449 2.731
Tb 2.991 7.668 0.932
Tb 5.981 5.674 1.255
Sm 2.991 3.681 1.102
Sm 5.981 2.587 2.959
Sm 8.972 7.712 4.617
Sm 5.981 8.807 2.759
Th 0.000 0.000 0.000
```

Results
space group	C2/m (12)
size of the total moment	0.00	μB/f.u.

---

Of them, (B) has the lowest stability.

---

(A)
VASP calculation (PBE-GGA) on crystalline TbSm2Th2 at its relaxed geometry.

Structure (extended XYZ):
```
5
Lattice="-2.819 -0.074 -2.243 -3.246 -0.981 1.218 -4.990 13.533 2.933" Properties=species:S:1:pos:R:3 pbc="T T T"
Sm -7.868 7.377 0.964
Sm -3.188 5.101 0.944
Tb 0.000 0.000 0.000
Th -6.424 10.433 1.943
Th -4.632 2.045 -0.035
```

Results
space group	R-3m (166)
size of the total moment	0.00	μB/f.u.

---

(B)
VASP calculation (PBE-GGA) on crystalline TbSm2Th2 at its relaxed geometry.

Structure (extended XYZ):
```
10
Lattice="-5.668 -5.889 -2.828 7.745 3.698 1.075 0.583 -5.117 10.566" Properties=species:S:1:pos:R:3 pbc="T T T"
Sm -3.378 -4.253 -2.161
Sm 5.454 2.061 0.409
Sm 2.393 -2.894 4.716
Sm 6.973 0.380 6.049
Tb -2.023 -6.051 3.431
Tb 1.038 -1.096 -0.876
Th -0.493 -3.573 1.278
Th 2.633 -3.187 7.975
Th 3.380 -1.725 1.815
Th -0.201 -6.132 6.561
```

Results
space group	Fddd (70)
size of the total moment	0.00	μB/f.u.

---

Of them, (B) has the lowest stability.

---

(A)
VASP calculation (PBE-GGA) on crystalline Tb4Sm3Th2 at its relaxed geometry.

Structure (extended XYZ):
```
9
Lattice="3.537 0.000 -0.761 -0.762 8.887 -3.539 0.208 -0.579 9.560" Properties=species:S:1:pos:R:3 pbc="T T T"
Tb 1.585 2.919 -1.231
Tb 1.397 5.389 6.490
Tb 2.505 5.601 3.040
Tb 0.478 2.706 2.219
Sm 2.903 2.512 4.889
Sm 0.000 0.000 0.000
Sm 0.080 5.796 0.370
Th 0.550 8.491 2.552
Th 2.433 -0.184 2.707
```

Results
space group	C2/m (12)
size of the total moment	0.00	μB/f.u.

---

(B)
VASP calculation (PBE-GGA) on crystalline Tb4Sm3Th2 at its relaxed geometry.

Structure (extended XYZ):
```
9
Lattice="3.574 0.000 0.000 -1.787 3.095 0.000 0.000 0.000 26.827" Properties=species:S:1:pos:R:3 pbc="T T T"
Th 1.787 1.032 2.487
Th 1.787 1.032 23.326
Sm 0.000 0.000 8.708
Sm 1.787 1.032 17.470
Sm 0.000 0.000 26.328
Tb 1.787 1.032 11.692
Tb 1.787 1.032 5.858
Tb 0.000 0.000 20.435
Tb 0.000 0.000 14.537
```

Results
space group	P3m1 (156)
size of the total moment	0.00	μB/f.u.

---

Of them, (B) has the lowest stability.

---

(A)
VASP calculation (PBE-GGA) on crystalline Tb2Sm4Th3 at its relaxed geometry.

Structure (extended XYZ):
```
9
Lattice="3.581 0.000 0.000 -1.790 3.101 0.000 0.000 0.000 26.882" Properties=species:S:1:pos:R:3 pbc="T T T"
Th 0.000 0.000 26.440
Th 0.000 0.000 8.645
Th 1.790 1.034 17.586
Sm 0.000 0.000 20.547
Sm 1.790 1.034 5.760
Sm 1.790 1.034 11.611
Sm 0.000 0.000 14.641
Tb 1.790 1.034 2.387
Tb 1.790 1.034 23.493
```

Results
space group	P3m1 (156)
size of the total moment	0.00	μB/f.u.

---

(B)
VASP calculation (PBE-GGA) on crystalline Tb2Sm4Th3 at its relaxed geometry.

Structure (extended XYZ):
```
9
Lattice="3.611 0.000 0.000 -1.805 7.811 0.069 0.000 2.468 10.509" Properties=species:S:1:pos:R:3 pbc="T T T"
Tb 1.805 4.493 8.203
Tb 0.000 5.786 2.375
Sm 1.805 8.601 3.608
Sm 0.000 7.467 9.361
Sm 1.805 2.812 1.216
Sm 0.000 1.678 6.970
Th 0.000 6.509 5.903
Th 1.805 3.770 4.675
Th 0.000 0.000 0.000
```

Results
space group	C2/m (12)
size of the total moment	0.00	μB/f.u.

---

Of them, (A) has the lowest stability.

---

(A)
VASP calculation (PBE-GGA) on crystalline Tb3Sm3Th at its relaxed geometry.

Structure (extended XYZ):
```
14
Lattice="8.009 0.727 3.635 2.624 7.602 3.635 0.928 0.727 8.746" Properties=species:S:1:pos:R:3 pbc="T T T"
Tb 2.018 2.854 8.464
Tb 7.008 1.276 5.754
Tb 4.543 6.499 4.581
Tb 4.552 7.779 10.262
Tb 7.018 2.556 11.435
Tb 9.542 6.202 7.552
Sm 6.202 7.603 7.434
Sm 7.298 4.855 5.259
Sm 5.358 1.452 8.582
Sm 8.604 3.133 8.228
Sm 4.263 4.201 10.757
Sm 2.957 5.922 7.789
Th 4.015 3.145 5.562
Th 7.546 5.910 10.454
```

Results
space group	R-3 (148)
size of the total moment	0.00	μB/f.u.

---

(B)
VASP calculation (PBE-GGA) on crystalline Tb3Sm3Th at its relaxed geometry.

Structure (extended XYZ):
```
14
Lattice="-3.181 4.423 -2.016 -1.396 -4.759 -8.236 -6.163 -1.107 7.293" Properties=species:S:1:pos:R:3 pbc="T T T"
Sm -5.427 0.602 -2.669
Sm -6.902 -1.726 2.918
Sm -6.845 -1.558 -5.170
Sm -3.838 0.282 -5.877
Sm -5.313 -2.046 -0.290
Sm -3.895 0.114 2.211
Th -3.782 -2.437 -3.563
Th -6.958 0.994 0.604
Tb -8.471 1.388 3.856
Tb -2.269 -2.831 -6.815
Tb -3.939 2.793 -0.211
Tb -6.801 -4.236 -2.748
Tb -2.275 -0.243 -1.128
Tb -8.465 -1.200 -1.831
```

Results
space group	P6_3/m (176)
size of the total moment	0.00	μB/f.u.

---

Of them, (A) has the lowest stability.

---

(A)
VASP calculation (PBE-GGA) on crystalline Tb12Sm7Th at its relaxed geometry.

Structure (extended XYZ):
```
20
Lattice="8.530 1.096 1.646 -1.319 8.499 1.646 -1.319 -1.755 8.477" Properties=species:S:1:pos:R:3 pbc="T T T"
Sm 0.792 3.323 1.311
Sm 5.100 4.518 10.457
Sm 6.180 7.099 8.197
Sm -0.288 0.742 3.571
Sm 2.921 7.280 9.708
Sm 2.946 3.920 5.884
Sm 2.971 0.560 2.060
Tb -0.213 3.356 6.301
Tb 2.610 2.306 8.668
Tb 0.293 5.097 9.048
Tb -0.161 5.782 3.578
Tb 1.078 0.144 6.715
Tb 6.105 4.484 5.466
Tb 3.283 5.534 3.100
Tb 4.815 7.696 5.053
Tb 4.403 1.053 5.524
Tb 1.489 6.787 6.243
Tb 5.599 2.743 2.719
Tb 6.054 2.058 8.189
Th 0.000 0.000 0.000
```

Results
space group	R-3 (148)
size of the total moment	0.00	μB/f.u.

---

(B)
VASP calculation (PBE-GGA) on crystalline Tb12Sm7Th at its relaxed geometry.

Structure (extended XYZ):
```
20
Lattice="0.261 -9.733 -1.234 7.339 2.746 5.909 -8.576 2.558 4.029" Properties=species:S:1:pos:R:3 pbc="T T T"
Tb -6.419 -0.441 2.747
Tb 5.443 -3.988 5.957
Tb -4.432 -7.127 3.252
Tb 3.456 2.698 5.451
Tb -0.177 -3.455 1.822
Tb 1.353 -3.974 5.596
Tb -0.799 -0.973 6.881
Tb 1.554 -0.412 3.565
Tb -2.530 -4.016 5.139
Tb 1.986 -6.688 0.511
Tb -2.963 2.260 8.193
Tb -2.330 -0.455 3.108
Sm -4.288 1.279 2.014
Sm 0.130 -4.866 -0.617
Sm -4.158 -3.587 1.397
Sm -0.618 2.652 4.969
Sm 3.669 1.373 2.955
Sm -0.488 -2.214 4.352
Sm 3.800 -3.493 2.337
Th 0.000 0.000 0.000
```

Results
space group	Im-3m (229)
size of the total moment	0.00	μB/f.u.

---

Of them, (B) has the lowest stability.

---

(A)
VASP calculation (PBE-GGA) on crystalline Tb12Sm5Th2 at its relaxed geometry.

Structure (extended XYZ):
```
19
Lattice="-8.441 3.097 2.655 0.931 -1.157 -12.241 -0.117 -5.835 6.436" Properties=species:S:1:pos:R:3 pbc="T T T"
Tb -4.105 -1.525 -4.881
Tb -0.846 -2.721 -5.906
Tb -3.521 -2.369 1.731
Tb -2.941 -0.939 -8.255
Tb -7.910 2.354 -0.693
Tb -6.780 -1.173 2.756
Tb -4.685 -2.955 5.105
Tb -2.479 0.362 -2.401
Tb -5.147 -4.255 -0.750
Tb -7.126 -2.395 -3.310
Tb 0.284 -6.248 -2.458
Tb -0.500 -1.499 0.159
Sm -2.005 -3.376 -2.436
Sm -5.621 -0.518 -0.714
Sm -0.058 -2.917 3.218
Sm -1.633 -5.044 0.692
Sm -5.992 1.151 -3.842
Th -2.782 1.021 0.875
Th -5.659 2.077 1.780
```

Results
space group	C2/m (12)
size of the total moment	0.00	μB/f.u.

---

(B)
VASP calculation (PBE-GGA) on crystalline Tb12Sm5Th2 at its relaxed geometry.

Structure (extended XYZ):
```
19
Lattice="-5.293 -2.913 2.177 -7.929 1.147 -9.057 13.521 -7.858 7.145" Properties=species:S:1:pos:R:3 pbc="T T T"
Tb -7.615 -2.674 -5.218
Tb -3.124 -4.109 -2.724
Tb 7.914 -6.950 5.483
Tb -2.174 -7.017 -1.077
Tb -0.029 -7.162 2.295
Tb 6.551 -7.059 2.202
Tb 2.473 -2.607 1.343
Tb 3.423 -5.515 2.990
Tb -2.610 -0.890 -1.290
Tb 2.909 -8.734 1.556
Tb 0.328 -2.462 -2.030
Tb -6.252 -2.565 -1.936
Th 8.581 -9.730 8.114
Th -8.281 0.106 -7.848
Sm -4.183 -1.188 -4.498
Sm 4.482 -8.436 4.763
Sm 6.760 -3.929 3.573
Sm 1.890 -5.534 -0.345
Sm -1.591 -4.090 0.610
```

Results
space group	P-1 (2)
size of the total moment	0.00	μB/f.u.

---

Of them, (A) has the lowest stability.

---

(A)
VASP calculation (PBE-GGA) on crystalline Tb3Sm2Th at its relaxed geometry.

Structure (extended XYZ):
```
12
Lattice="-4.202 3.030 -3.880 -4.134 -6.932 -0.935 -5.682 -0.467 5.789" Properties=species:S:1:pos:R:3 pbc="T T T"
Th -2.911 -0.349 -0.334
Th -11.508 -3.731 0.939
Sm -7.734 -3.643 -0.689
Sm -4.823 -1.779 3.013
Sm -8.296 -1.297 1.751
Sm -4.262 -4.125 0.573
Tb -7.426 -3.611 4.187
Tb -10.287 -5.796 3.205
Tb -6.862 -5.968 1.735
Tb -4.285 1.826 -2.742
Tb -5.298 -1.691 -2.017
Tb -5.862 0.666 0.435
```

Results
space group	Cmc2_1 (36)
size of the total moment	0.00	μB/f.u.

---

(B)
VASP calculation (PBE-GGA) on crystalline Tb3Sm2Th at its relaxed geometry.

Structure (extended XYZ):
```
12
Lattice="6.617 0.237 1.061 -1.860 8.706 1.491 -0.404 -0.237 6.689" Properties=species:S:1:pos:R:3 pbc="T T T"
Tb 5.459 0.199 3.059
Tb 3.485 4.552 2.502
Tb 1.267 6.529 4.438
Tb 3.087 2.176 4.803
Tb 0.868 4.154 6.739
Tb -1.106 8.507 6.183
Sm 2.210 1.119 1.427
Sm -0.018 3.234 3.213
Sm 2.143 7.587 7.814
Sm 4.371 5.472 6.028
Th 5.111 2.176 7.329
Th -0.758 6.529 1.913
```

Results
space group	C2/c (15)
size of the total moment	0.00	μB/f.u.

---

Of them, (A) has the lowest stability.